Compound: AcMnIrO6
Source: Alexandria via LeMat-Bulk
Functional: GGA+U
Structure: optimized geometry

**Space-group type**: P-31c (163)
**Calculated total energy**: -127.52 eV for the cell shown
**D(E_F)**: 8.41 states/eV/cell

Cell: 5.8089 5.8089 8.1776 Å, 90.00 90.00 120.00°
Last column: nearest neighbours and their distance in Å.
Fractional coordinates of all 18 atoms:
Ac1 0.3333 0.6667 0.2500  6 O 2.49
Ac2 0.6667 0.3333 0.7500  6 O 2.49
Mn1 0.0000 0.0000 0.0000  6 O 2.23
Mn2 0.0000 0.0000 0.5000  6 O 2.23
Ir1 0.3333 0.6667 0.7500  6 O 1.94
Ir2 0.6667 0.3333 0.2500  6 O 1.94
O1 0.0725 0.3785 0.6164  1 Ir 1.94
O2 0.0725 0.6939 0.8836  1 Ir 1.94
O3 0.3061 0.3785 0.8836  1 Ir 1.94
O4 0.3061 0.9275 0.6164  1 Ir 1.94
O5 0.3785 0.0725 0.1164  1 Ir 1.94
O6 0.3785 0.3061 0.3836  1 Ir 1.94
O7 0.6215 0.6939 0.6164  1 Ir 1.94
O8 0.6215 0.9275 0.8836  1 Ir 1.94
O9 0.6939 0.0725 0.3836  1 Ir 1.94
O10 0.6939 0.6215 0.1164  1 Ir 1.94
O11 0.9275 0.3061 0.1164  1 Ir 1.94
O12 0.9275 0.6215 0.3836  1 Ir 1.94